First-principles (PBE-GGA) data for VICl2 after structural relaxation, as listed in Alexandria via LeMat-Bulk.

The structure in POSCAR format:
```
VICl2
1.0
3.559 0.000 0.000
-1.780 3.083 0.000
0.000 0.000 33.485
V I Cl
3 3 6
direct
0.000 0.000 0.000
0.333 0.667 0.667
0.667 0.333 0.333
0.000 0.000 0.500
0.333 0.667 0.167
0.667 0.333 0.833
0.000 0.000 0.374
0.000 0.000 0.626
0.333 0.667 0.041
0.333 0.667 0.292
0.667 0.333 0.708
0.667 0.333 0.959
```

energy	-4.354	eV per atom
space group	R-3m, No. 166

=====

First-principles (PBE-GGA) data for VRe5 after structural relaxation, as listed in Alexandria via LeMat-Bulk.

The structure in POSCAR format:
```
VRe5
1.0
4.386 0.000 0.000
0.000 13.394 0.000
0.000 0.000 3.013
V Re
2 10
direct
0.000 0.000 0.000
0.500 0.500 0.000
0.000 0.152 0.500
0.000 0.323 0.000
0.000 0.500 0.500
0.000 0.677 0.000
0.000 0.848 0.500
0.500 0.000 0.500
0.500 0.177 0.000
0.500 0.348 0.500
0.500 0.652 0.500
0.500 0.823 0.000
```

energy relative to the elements	0.0066	eV/atom
space group	Cmmm, No. 65

=====

First-principles (PBE-GGA) data for Ce4BiSb5 after structural relaxation, as listed in Alexandria via LeMat-Bulk.

The structure in POSCAR format:
```
Ce4BiSb5
1.0
7.932 -2.339 0.000
7.932 2.339 0.000
-0.052 0.000 8.740
Ce Bi Sb
4 1 5
direct
0.007 0.007 0.258
0.290 0.290 0.250
0.710 0.710 0.750
0.993 0.993 0.742
0.500 0.500 0.000
0.152 0.152 0.990
0.156 0.156 0.512
0.500 0.500 0.500
0.844 0.844 0.488
0.848 0.848 0.010
```

energy	-5.506	eV per atom
space group	C2/m, No. 12

=====

First-principles (PBE-GGA) data for LaPr5Ho2Er after structural relaxation, as listed in Alexandria via LeMat-Bulk.

The structure in POSCAR format:
```
LaPr5Ho2Er
1.0
2.878 -10.225 0.000
2.878 10.225 0.000
0.000 0.000 10.737
La Pr Ho Er
2 10 4 2
direct
0.086 0.914 0.500
0.914 0.086 0.000
0.019 0.981 0.789
0.117 0.883 0.069
0.204 0.796 0.753
0.220 0.780 0.362
0.483 0.517 0.068
0.517 0.483 0.568
0.780 0.220 0.862
0.796 0.204 0.253
0.883 0.117 0.569
0.981 0.019 0.289
0.385 0.615 0.363
0.386 0.614 0.782
0.614 0.386 0.282
0.615 0.385 0.863
0.302 0.698 0.058
0.698 0.302 0.558
```

energy relative to the elements	0.1471	eV/atom
space group	Cmc2_1, No. 36

=====

First-principles (PBE-GGA) data for SrGe3Au9 after structural relaxation, as listed in Alexandria via LeMat-Bulk.

The structure in POSCAR format:
```
SrGe3Au9
1.0
2.774 -6.998 0.000
2.774 6.998 0.000
-1.956 0.000 6.632
Sr Ge Au
1 3 9
direct
0.000 0.000 0.000
0.000 0.500 0.000
0.500 0.000 0.000
0.500 0.500 0.500
0.000 0.000 0.500
0.047 0.690 0.654
0.310 0.953 0.346
0.313 0.531 0.780
0.469 0.687 0.220
0.531 0.313 0.780
0.687 0.469 0.220
0.690 0.047 0.654
0.953 0.310 0.346
```

energy relative to the elements	-0.1388	eV/atom
space group	C2/m, No. 12

=====

First-principles (PBE-GGA) data for KYBr2F after structural relaxation, as listed in Alexandria via LeMat-Bulk.

The structure in POSCAR format:
```
KYBr2F
1.0
5.816 0.000 0.000
0.000 5.816 0.000
0.000 0.000 4.411
K Y Br F
1 1 2 1
direct
0.000 0.000 0.000
0.500 0.500 0.500
0.000 0.500 0.500
0.500 0.000 0.500
0.500 0.500 0.000
```

energy	-4.643	eV per atom
space group	P4/mmm, No. 123

=====

First-principles (PBE-GGA) data for KRbBr2O6 after structural relaxation, as listed in Alexandria via LeMat-Bulk.

The structure in POSCAR format:
```
KRbBr2O6
1.0
4.918 -5.948 0.000
4.918 5.948 0.000
-2.166 0.000 7.403
K Rb Br O
2 2 4 12
direct
0.087 0.913 0.750
0.913 0.087 0.250
0.309 0.691 0.250
0.691 0.309 0.750
0.194 0.404 0.703
0.404 0.194 0.203
0.596 0.806 0.797
0.806 0.596 0.297
0.008 0.233 0.616
0.126 0.564 0.835
0.233 0.008 0.116
0.319 0.333 0.342
0.333 0.319 0.842
0.436 0.874 0.665
0.564 0.126 0.335
0.667 0.681 0.158
0.681 0.667 0.658
0.767 0.992 0.884
0.874 0.436 0.165
0.992 0.767 0.384
```

energy	-4.130	eV per atom
space group	C2/c, No. 15

=====

First-principles (PBE-GGA) data for CrFeRh2 after structural relaxation, as listed in Alexandria via LeMat-Bulk.

The structure in POSCAR format:
```
CrFeRh2
1.0
5.461 0.000 0.000
0.000 8.644 0.000
-0.001 0.000 4.483
Cr Fe Rh
4 4 8
direct
0.145 0.113 0.102
0.145 0.387 0.602
0.855 0.613 0.398
0.855 0.887 0.898
0.359 0.609 0.404
0.359 0.891 0.904
0.641 0.109 0.096
0.641 0.391 0.596
0.113 0.636 0.913
0.113 0.864 0.413
0.386 0.141 0.587
0.386 0.359 0.087
0.614 0.641 0.913
0.614 0.859 0.413
0.887 0.136 0.587
0.887 0.364 0.087
```

energy relative to the elements	-0.0486	eV/atom
space group	P2_1/c, No. 14

=====

First-principles (PBE-GGA) data for Ta2BeCo2 after structural relaxation, as listed in Alexandria via LeMat-Bulk.

The structure in POSCAR format:
```
Ta2BeCo2
1.0
6.692 0.000 0.000
0.000 6.692 0.000
0.000 0.000 3.082
Ta Be Co
4 2 4
direct
0.175 0.325 0.000
0.325 0.825 0.000
0.675 0.175 0.000
0.825 0.675 0.000
0.000 0.000 0.500
0.500 0.500 0.500
0.130 0.630 0.500
0.370 0.130 0.500
0.630 0.870 0.500
0.870 0.370 0.500
```

energy relative to the elements	-0.0618	eV/atom
space group	P4/mbm, No. 127

=====

First-principles (PBE-GGA) data for Bi2Sb2Br after structural relaxation, as listed in Alexandria via LeMat-Bulk.

The structure in POSCAR format:
```
Bi2Sb2Br
1.0
5.825 0.000 0.000
-1.854 7.599 0.000
-0.363 -3.012 8.593
Bi Sb Br
4 4 2
direct
0.076 0.353 0.058
0.245 0.802 0.519
0.755 0.198 0.481
0.924 0.647 0.942
0.184 0.502 0.670
0.492 0.673 0.230
0.508 0.327 0.770
0.816 0.498 0.330
0.194 0.058 0.298
0.806 0.942 0.702
```

energy	-3.647	eV per atom
space group	P-1, No. 2

=====

First-principles (PBE-GGA) data for Hf5Mo2H12 after structural relaxation, as listed in Alexandria via LeMat-Bulk.

The structure in POSCAR format:
```
Hf5Mo2H12
1.0
5.043 -2.740 0.000
5.043 2.740 0.000
-1.374 0.000 6.387
Hf Mo H
5 2 12
direct
0.000 0.000 0.000
0.283 0.283 0.665
0.335 0.335 0.133
0.665 0.665 0.867
0.717 0.717 0.335
0.236 0.764 0.500
0.764 0.236 0.500
0.057 0.057 0.331
0.070 0.595 0.905
0.124 0.510 0.401
0.405 0.930 0.095
0.481 0.481 0.680
0.490 0.876 0.599
0.510 0.124 0.401
0.519 0.519 0.320
0.595 0.070 0.905
0.876 0.490 0.599
0.930 0.405 0.095
0.943 0.943 0.669
```

energy	-6.120	eV per atom
space group	C2/m, No. 12

=====

First-principles (PBE-GGA) data for Ba2LiPb2 after structural relaxation, as listed in Alexandria via LeMat-Bulk.

The structure in POSCAR format:
```
Ba2LiPb2
1.0
8.420 0.000 0.000
0.000 8.420 0.000
0.000 0.000 5.407
Ba Li Pb
4 2 4
direct
0.161 0.339 0.000
0.339 0.839 0.000
0.661 0.161 0.000
0.839 0.661 0.000
0.000 0.000 0.500
0.500 0.500 0.500
0.139 0.639 0.500
0.361 0.139 0.500
0.639 0.861 0.500
0.861 0.361 0.500
```

energy relative to the elements	-0.4134	eV/atom
space group	P4/mbm, No. 127

=====

First-principles (PBE-GGA) data for HoAlCl after structural relaxation, as listed in Alexandria via LeMat-Bulk.

The structure in POSCAR format:
```
HoAlCl
1.0
1.916 1.106 12.609
-1.916 1.106 12.609
0.000 -2.212 12.609
Ho Al Cl
2 2 2
direct
0.240 0.240 0.240
0.760 0.760 0.760
0.148 0.148 0.148
0.852 0.852 0.852
0.383 0.383 0.383
0.617 0.617 0.617
```

energy	-4.467	eV per atom
space group	R-3m, No. 166

=====

First-principles (PBE-GGA) data for Pr4Tl3Rh after structural relaxation, as listed in Alexandria via LeMat-Bulk.

The structure in POSCAR format:
```
Pr4Tl3Rh
1.0
3.675 0.000 0.000
0.000 3.675 0.000
0.000 0.000 16.846
Pr Tl Rh
4 3 1
direct
0.000 0.000 0.101
0.000 0.000 0.368
0.000 0.000 0.632
0.000 0.000 0.899
0.500 0.500 0.239
0.500 0.500 0.500
0.500 0.500 0.761
0.500 0.500 0.000
```

energy relative to the elements	-0.4383	eV/atom
space group	P4/mmm, No. 123

=====

First-principles (PBE-GGA) data for Cu2HSO after structural relaxation, as listed in Alexandria via LeMat-Bulk.

The structure in POSCAR format:
```
Cu2HSO
1.0
4.345 0.000 0.000
0.000 4.345 0.000
0.000 0.000 3.585
Cu H S O
2 1 1 1
direct
0.000 0.500 0.000
0.500 0.000 0.000
0.000 0.000 0.500
0.500 0.500 0.000
0.500 0.500 0.500
```

energy	-3.542	eV per atom
space group	P4/mmm, No. 123

=====

First-principles (PBE-GGA) data for Ba2ReSi after structural relaxation, as listed in Alexandria via LeMat-Bulk.

The structure in POSCAR format:
```
Ba2ReSi
1.0
4.105 0.000 0.000
0.000 5.210 0.000
0.000 0.000 11.637
Ba Re Si
4 2 2
direct
0.000 0.000 0.000
0.000 0.500 0.213
0.500 0.000 0.713
0.500 0.500 0.500
0.000 0.500 0.814
0.500 0.000 0.314
0.000 0.000 0.414
0.500 0.500 0.914
```

energy	-5.130	eV per atom
space group	Imm2, No. 44

=====

First-principles (PBE-GGA) data for Er2Al3Pt4 after structural relaxation, as listed in Alexandria via LeMat-Bulk.

The structure in POSCAR format:
```
Er2Al3Pt4
1.0
2.787 -7.608 0.000
2.787 7.608 0.000
0.000 0.000 7.554
Er Al Pt
4 6 8
direct
0.105 0.895 0.907
0.395 0.605 0.407
0.605 0.395 0.593
0.895 0.105 0.093
0.000 0.000 0.500
0.021 0.479 0.750
0.479 0.021 0.250
0.500 0.500 0.000
0.521 0.979 0.750
0.979 0.521 0.250
0.182 0.818 0.528
0.190 0.310 0.750
0.310 0.190 0.250
0.318 0.682 0.028
0.682 0.318 0.972
0.690 0.810 0.750
0.810 0.690 0.250
0.818 0.182 0.472
```

energy relative to the elements	-1.1991	eV/atom
space group	Cmce, No. 64

=====

First-principles (PBE-GGA) data for Al2NiMo after structural relaxation, as listed in Alexandria via LeMat-Bulk.

The structure in POSCAR format:
```
Al2NiMo
1.0
2.804 0.000 0.000
-1.402 2.429 0.000
0.000 0.000 25.099
Al Ni Mo
6 3 3
direct
0.000 0.000 0.243
0.000 0.000 0.757
0.333 0.667 0.424
0.333 0.667 0.910
0.667 0.333 0.090
0.667 0.333 0.576
0.000 0.000 0.500
0.333 0.667 0.167
0.667 0.333 0.833
0.000 0.000 0.000
0.333 0.667 0.667
0.667 0.333 0.333
```

energy relative to the elements	-0.2236	eV/atom
space group	R-3m, No. 166

=====

First-principles (PBE-GGA) data for HoTm2Hf after structural relaxation, as listed in Alexandria via LeMat-Bulk.

The structure in POSCAR format:
```
HoTm2Hf
1.0
4.794 0.000 0.000
0.000 4.794 0.000
0.000 0.000 4.799
Ho Tm Hf
1 2 1
direct
0.000 0.000 0.000
0.000 0.500 0.500
0.500 0.000 0.500
0.500 0.500 0.000
```

energy relative to the elements	0.1281	eV/atom
space group	P4/mmm, No. 123

=====

First-principles (PBE-GGA) data for Al2AgRh after structural relaxation, as listed in Alexandria via LeMat-Bulk.

The structure in POSCAR format:
```
Al2AgRh
1.0
8.448 0.000 0.000
0.000 2.953 0.000
-0.998 0.000 4.967
Al Ag Rh
4 2 2
direct
0.240 0.000 0.224
0.260 0.500 0.776
0.740 0.500 0.224
0.760 0.000 0.776
0.000 0.000 0.500
0.500 0.500 0.500
0.000 0.500 0.000
0.500 0.000 0.000
```

energy relative to the elements	-0.4006	eV/atom
space group	C2/m, No. 12

=====

First-principles (PBE-GGA) data for YB2AuCl after structural relaxation, as listed in Alexandria via LeMat-Bulk.

The structure in POSCAR format:
```
YB2AuCl
1.0
4.059 0.000 0.000
0.000 4.059 0.000
0.000 0.000 6.016
Y B Au Cl
1 2 1 1
direct
0.000 0.000 0.000
0.000 0.500 0.500
0.500 0.000 0.500
0.000 0.000 0.500
0.500 0.500 0.000
```

energy	-4.755	eV per atom
space group	P4/mmm, No. 123

=====

First-principles (PBE-GGA) data for ThNiS2 after structural relaxation, as listed in Alexandria via LeMat-Bulk.

The structure in POSCAR format:
```
ThNiS2
1.0
3.521 0.000 0.000
-1.760 3.049 0.000
0.000 0.000 23.487
Th Ni S
3 3 6
direct
0.000 0.000 0.000
0.333 0.667 0.667
0.667 0.333 0.333
0.000 0.000 0.500
0.333 0.667 0.167
0.667 0.333 0.833
0.000 0.000 0.117
0.000 0.000 0.883
0.333 0.667 0.550
0.333 0.667 0.784
0.667 0.333 0.216
0.667 0.333 0.450
```

energy	-5.709	eV per atom
space group	R-3m, No. 166

=====

| no. | total moment (μB per cell) |
| --- | --- |
| 1 | 8.71 |
| 2 | 0.00 |
| 3 | 3.26 |
| 4 | 0.01 |
| 5 | 0.00 |
| 6 | 0.00 |
| 7 | 0.00 |
| 8 | 5.79 |
| 9 | 0.00 |
| 10 | 0.00 |
| 11 | 0.00 |
| 12 | 0.00 |
| 13 | 0.00 |
| 14 | 0.00 |
| 15 | 0.28 |
| 16 | 0.00 |
| 17 | 0.00 |
| 18 | 0.00 |
| 19 | 0.00 |
| 20 | 0.00 |
| 21 | 0.00 |
| 22 | 0.00 |